Record 1
Here is a relaxed SbRuAu2 crystal from Alexandria via LeMat-Bulk. Energies are from PBE.

Computed properties:
M_tot   0.00 Bohr magnetons per cell
Space-group type   Pmmm, No. 47
Formation energy from raw total energies   0.26 eV per atom

Cell lengths 3.2275, 4.4763, 5.0721 Å; angles 90.00, 90.00, 90.00 degrees
Positions (direct):
Sb  0.0000  0.0000  0.0000
Ru  0.5000  0.5000  0.0000
Au  0.0000  0.5000  0.5000
Au  0.5000  0.0000  0.5000

=====

Record 2
Here is a relaxed AcLaCoGe crystal from Alexandria via LeMat-Bulk. Energies are from PBE.

Computed properties:
Energy above the most stable polymorph in this dataset   0 meV/atom
M_tot   0.00 Bohr magnetons per cell
Space-group type   P4/nmm, No. 129

Cell lengths 4.8188, 4.8188, 9.8579 Å; angles 90.00, 90.00, 90.00 degrees
Positions (direct):
Ac  0.2500  0.2500  0.1625
Ac  0.7500  0.7500  0.8375
La  0.2500  0.7500  0.5000
La  0.7500  0.2500  0.5000
Co  0.2500  0.2500  0.6207
Co  0.7500  0.7500  0.3793
Ge  0.2500  0.2500  0.8480
Ge  0.7500  0.7500  0.1520

=====

Record 3
Here is a relaxed Li3SbP2O8 crystal from Alexandria via LeMat-Bulk. Energies are from PBE.

Computed properties:
Energy above the most stable polymorph in this dataset   27 meV/atom
M_tot   0.00 Bohr magnetons per cell
Space-group type   C2/m, No. 12
Formation energy from raw total energies   -2.10 eV per atom

Cell lengths 5.1756, 5.1756, 6.3311 Å; angles 91.50, 91.50, 66.96 degrees
Positions (direct):
Li  0.0000  0.0000  0.0000
Li  0.3368  0.3368  0.2070
Li  0.6632  0.6632  0.7930
Sb  0.0000  0.0000  0.5000
P  0.3530  0.3530  0.7399
P  0.6470  0.6470  0.2601
O  0.2377  0.2377  0.9170
O  0.2471  0.6836  0.7580
O  0.2691  0.2691  0.5179
O  0.3164  0.7529  0.2420
O  0.6836  0.2471  0.7580
O  0.7309  0.7309  0.4821
O  0.7529  0.3164  0.2420
O  0.7623  0.7623  0.0830

=====

Record 4
Here is a relaxed Ce3Nb crystal from Alexandria via LeMat-Bulk. Energies are from PBE.

Computed properties:
Energy above the most stable polymorph in this dataset   0 meV/atom
M_tot   0.00 Bohr magnetons per cell
Space-group type   Pmm2, No. 25

Cell lengths 3.0583, 5.1324, 6.0290 Å; angles 90.00, 90.00, 90.00 degrees
Positions (direct):
Ce  0.0000  0.0000  0.0000
Ce  0.0000  0.5000  0.2157
Ce  0.5000  0.5000  0.6935
Nb  0.5000  0.0000  0.4921

=====

Record 5
Here is a relaxed La2CuSi2 crystal from Alexandria via LeMat-Bulk. Energies are from PBE.

Computed properties:
Energy above the most stable polymorph in this dataset   0 meV/atom
M_tot   0.00 Bohr magnetons per cell
Space-group type   C2/m, No. 12
Formation energy from raw total energies   -0.66 eV per atom

Cell lengths 5.9813, 5.9813, 10.8737 Å; angles 116.34, 116.34, 41.88 degrees
Positions (direct):
La  0.1158  0.1158  0.4130
La  0.2853  0.2853  0.8523
La  0.7147  0.7147  0.1477
La  0.8842  0.8842  0.5870
Cu  0.4490  0.4490  0.1863
Cu  0.5510  0.5510  0.8137
Si  0.0333  0.0333  0.9104
Si  0.3984  0.3984  0.3843
Si  0.6016  0.6016  0.6157
Si  0.9667  0.9667  0.0896

=====

Record 6
Here is a relaxed TmAg2SbS4 crystal from Alexandria via LeMat-Bulk. Energies are from PBE.

Computed properties:
M_tot   0.00 Bohr magnetons per cell
Space-group type   P2/m, No. 10
Formation energy from raw total energies   -0.71 eV per atom

Cell lengths 6.6772, 3.9585, 6.9222 Å; angles 90.00, 110.89, 90.00 degrees
Positions (direct):
Tm  0.0000  0.0000  0.0000
Ag  0.5000  0.0000  0.5000
Ag  0.5000  0.5000  0.0000
Sb  0.0000  0.5000  0.5000
S  0.2377  0.5000  0.2464
S  0.2449  0.0000  0.7563
S  0.7551  0.0000  0.2437
S  0.7623  0.5000  0.7536

=====

Record 7
Here is a relaxed ZrAsRh2 crystal from Alexandria via LeMat-Bulk. Energies are from PBE.

Computed properties:
M_tot   0.00 Bohr magnetons per cell
Space-group type   P4/mmm, No. 123
Calculated total energy   -7.594 eV/atom

Cell lengths 4.0499, 4.0499, 3.9536 Å; angles 90.00, 90.00, 90.00 degrees
Positions (direct):
Zr  0.0000  0.0000  0.0000
As  0.5000  0.5000  0.0000
Rh  0.0000  0.5000  0.5000
Rh  0.5000  0.0000  0.5000

=====

Record 8
Here is a relaxed NpB6 crystal from Alexandria via LeMat-Bulk. Energies are from PBE.

Computed properties:
Energy above the most stable polymorph in this dataset   0 meV/atom
M_tot   4.03 Bohr magnetons per cell
Space-group type   Pm-3m, No. 221

Cell lengths 4.0887, 4.0887, 4.0887 Å; angles 90.00, 90.00, 90.00 degrees
Positions (direct):
Np  0.0000  0.0000  0.0000
B  0.1978  0.5000  0.5000
B  0.5000  0.1978  0.5000
B  0.5000  0.5000  0.1978
B  0.5000  0.5000  0.8022
B  0.5000  0.8022  0.5000
B  0.8022  0.5000  0.5000

=====

Which value of M_tot does entry 1 give? 0.00 Bohr magnetons per cell